No. 1
Material: Ba3InSb2Au6
Method: DFT, PBE
State: relaxed

Calculated values
- Magnetic moment: 0.00 μB/f.u.
- Energy: -0.2641 Ry per atom

Cell lengths 6.8112, 6.8112, 8.9834 Å; angles 90.00, 90.00, 120.00 degrees
Fractional coordinates of all 12 atoms:
1 Ba 0.0000 0.0000 0.0000
2 Ba 0.3333 0.6667 0.6509
3 Ba 0.6667 0.3333 0.3491
4 In 0.0000 0.0000 0.5000
5 Sb 0.3333 0.6667 0.0785
6 Sb 0.6667 0.3333 0.9215
7 Au 0.1754 0.3507 0.2989
8 Au 0.1754 0.8246 0.2989
9 Au 0.3507 0.1754 0.7011
10 Au 0.6493 0.8246 0.2989
11 Au 0.8246 0.1754 0.7011
12 Au 0.8246 0.6493 0.7011



No. 2
Material: Mg2CdTe
Method: DFT, PBE
State: relaxed

Calculated values
- Magnetic moment: 0.00 μB/f.u.
- Energy: -0.1528 Ry per atom

Cell lengths 6.9103, 6.9103, 6.9103 Å; angles 147.18, 144.66, 49.00 degrees
Fractional coordinates of all 4 atoms:
1 Mg 0.0000 0.0000 0.0000
2 Mg 0.7598 0.2598 0.5000
3 Cd 0.4348 0.4348 0.0000
4 Te 0.1837 0.6837 0.5000



No. 3
Material: Sc4Pd5Pb
Method: DFT, PBE
State: relaxed

Calculated values
- DFT formation energy: -787 meV per atom
- Magnetic moment: 0.00 μB/f.u.
- Energy: -0.4621 Ry per atom

Cell lengths 3.3151, 3.3151, 17.0717 Å; angles 90.00, 90.00, 90.00 degrees
Fractional coordinates of all 10 atoms:
1 Sc 0.0000 0.0000 0.0979
2 Sc 0.0000 0.0000 0.2947
3 Sc 0.0000 0.0000 0.7053
4 Sc 0.0000 0.0000 0.9021
5 Pd 0.5000 0.5000 0.0000
6 Pd 0.5000 0.5000 0.1950
7 Pd 0.5000 0.5000 0.3799
8 Pd 0.5000 0.5000 0.6201
9 Pd 0.5000 0.5000 0.8050
10 Pb 0.0000 0.0000 0.5000



No. 4
Material: Ce2BSe4
Method: DFT, PBE
State: relaxed

Calculated values
- Magnetic moment: 2.61 μB/f.u.
- Energy: -0.4231 Ry per atom

Cell lengths 6.6593, 6.5233, 8.0461 Å; angles 90.00, 107.61, 90.00 degrees
Fractional coordinates of all 14 atoms:
1 Ce 0.2303 0.2500 0.4345
2 Ce 0.2573 0.2500 0.9374
3 Ce 0.7427 0.7500 0.0626
4 Ce 0.7697 0.7500 0.5655
5 B 0.2815 0.7500 0.1980
6 B 0.7185 0.2500 0.8020
7 Se 0.1100 0.7500 0.3837
8 Se 0.1173 0.7500 0.9268
9 Se 0.4842 0.5034 0.2532
10 Se 0.4842 0.9966 0.2532
11 Se 0.5158 0.0034 0.7468
12 Se 0.5158 0.4966 0.7468
13 Se 0.8827 0.2500 0.0732
14 Se 0.8900 0.2500 0.6163



No. 5
Material: Ta2Rh2F
Method: DFT, PBE
State: relaxed

Calculated values
- Magnetic moment: 0.00 μB/f.u.
- Energy: -0.6260 Ry per atom

Cell lengths 7.2868, 7.2868, 3.0958 Å; angles 90.00, 90.00, 90.00 degrees
Fractional coordinates of all 10 atoms:
1 Ta 0.1647 0.3353 0.0000
2 Ta 0.3353 0.8353 0.0000
3 Ta 0.6647 0.1647 0.0000
4 Ta 0.8353 0.6647 0.0000
5 Rh 0.1331 0.6331 0.5000
6 Rh 0.3669 0.1331 0.5000
7 Rh 0.6331 0.8669 0.5000
8 Rh 0.8669 0.3669 0.5000
9 F 0.0000 0.0000 0.0000
10 F 0.5000 0.5000 0.0000



No. 6
Material: FeSi2CN
Method: DFT, PBE
State: relaxed

Calculated values
- Magnetic moment: 0.00 μB/f.u.
- Energy: -0.4285 Ry per atom

Cell lengths 3.8495, 3.8495, 3.5376 Å; angles 90.00, 90.00, 90.00 degrees
Fractional coordinates of all 5 atoms:
1 Fe 0.0000 0.0000 0.0000
2 Si 0.0000 0.5000 0.5000
3 Si 0.5000 0.0000 0.5000
4 C 0.5000 0.5000 0.5000
5 N 0.5000 0.5000 0.0000